1.
VASP calculation (PBE) on BeNiAs2Pb after structural relaxation.

Properties
- SG: P4/mmm, No. 123
- E_form: 0.6754 eV/atom

Lattice parameters (Å, degrees): 4.4679 5.6188 4.4679 90.00 90.00 90.00
Fractional coordinates of all 5 atoms:
Pb: 0.0000 0.5000 0.0000
Ni: 0.0000 0.0000 0.0000
As: 0.0000 0.0000 0.5000
As: 0.5000 0.0000 0.0000
Be: 0.5000 0.5000 0.5000


2.
VASP calculation (PBE) on Pm2BeNi3As4 after structural relaxation.

Properties
- SG: P-4m2, No. 115
- E_form: -0.7326 eV/atom

Lattice parameters (Å, degrees): 4.1639 4.1639 9.6057 90.00 90.00 90.00
Fractional coordinates of all 10 atoms:
Pm: 0.5000 0.0000 0.2498
Pm: 0.0000 0.5000 0.7502
Be: 0.5000 0.5000 0.5000
Ni: 0.0000 0.0000 0.5000
Ni: 0.5000 0.0000 0.8783
Ni: 0.0000 0.5000 0.1217
As: 0.5000 0.5000 0.0000
As: 0.0000 0.0000 0.0000
As: 0.5000 0.0000 0.6302
As: 0.0000 0.5000 0.3698


3.
VASP calculation (PBE) on BeNiAs2Pt after structural relaxation.

Properties
- SG: P4/mmm, No. 123
- E_form: 0.7251 eV/atom

Lattice parameters (Å, degrees): 4.3463 4.8932 4.3463 90.00 90.00 90.00
Fractional coordinates of all 5 atoms:
Ni: 0.0000 0.0000 0.0000
As: 0.0000 0.0000 0.5000
As: 0.5000 0.0000 0.0000
Pt: 0.0000 0.5000 0.0000
Be: 0.5000 0.5000 0.5000


4.
VASP calculation (PBE) on BeNiAs2Rh after structural relaxation.

Properties
- SG: P4/mmm, No. 123
- E_form: 0.4993 eV/atom

Lattice parameters (Å, degrees): 4.3709 4.0397 4.3709 90.00 90.00 90.00
Fractional coordinates of all 5 atoms:
Ni: 0.5000 0.5000 0.5000
As: 0.0000 0.0000 0.5000
As: 0.5000 0.0000 0.0000
Rh: 0.0000 0.5000 0.0000
Be: 0.0000 0.0000 0.0000


5.
VASP calculation (PBE) on BeNiSb2As after structural relaxation.

Properties
- SG: P4/mmm, No. 123
- Calculated total energy: -4.136 eV/atom

Lattice parameters (Å, degrees): 4.9915 4.0361 4.9915 90.00 90.00 90.00
Fractional coordinates of all 5 atoms:
Sb: 0.0000 0.0000 0.5000
Sb: 0.5000 0.0000 0.0000
As: 0.5000 0.5000 0.5000
Be: 0.0000 0.5000 0.0000
Ni: 0.0000 0.0000 0.0000


6.
VASP calculation (PBE) on BeNiAsSe2 after structural relaxation.

Properties
- SG: P4/mmm, No. 123
- Calculated total energy: -3.567 eV/atom

Lattice parameters (Å, degrees): 4.6180 4.6180 4.2514 90.00 90.00 90.00
Site moments in Bohr magnetons follow the coordinates.
Fractional coordinates of all 5 atoms:
Ni: 0.5000 0.5000 0.5000  0.50
As: 0.0000 0.0000 0.5000  -0.01
Se: 0.0000 0.5000 0.0000  0.03
Se: 0.5000 0.0000 0.0000  0.03
Be: 0.0000 0.0000 0.0000  -0.01


7.
VASP calculation (PBE) on BeNiAsSe2 after structural relaxation.

Properties
- SG: P4/mmm, No. 123
- Calculated total energy: -3.502 eV/atom

Lattice parameters (Å, degrees): 4.8744 4.8744 4.3211 90.00 90.00 90.00
Fractional coordinates of all 5 atoms:
Ni: 0.0000 0.0000 0.0000
As: 0.0000 0.0000 0.5000
Se: 0.0000 0.5000 0.0000
Se: 0.5000 0.0000 0.0000
Be: 0.5000 0.5000 0.5000


8.
VASP calculation (PBE) on SrBeNiAs2 after structural relaxation.

Properties
- SG: I-4m2, No. 119
- E_form: -0.5805 eV/atom

Lattice parameters (Å, degrees): 3.9441 3.9441 6.5596 107.50 107.50 90.00
Fractional coordinates of all 5 atoms:
Sr: 0.0000 0.0000 0.0000
Be: 0.7500 0.2500 0.5000
Ni: 0.2500 0.7500 0.5000
As: 0.6408 0.6408 0.2816
As: 0.3592 0.3592 0.7184